# Pm8CuRh2, optimized geometry, DFT PBE
# - M_tot: 0.0 μB/f.u.
# - Energy relative to the lowest polymorph listed for this composition: 0 meV/atom
# - DOS at the Fermi energy: 21.2 states/eV/cell
# - E: -120.09 eV per cell
# - Energy of formation from the pure elements: -0.295 eV/atom
data_Pm8CuRh2
_symmetry_space_group_name_H-M 'C 1 2/m 1'
_symmetry_Int_Tables_number 12
_cell_length_a 17.683
_cell_length_b 5.121
_cell_length_c 6.905
_cell_angle_alpha 90.00
_cell_angle_beta 101.09
_cell_angle_gamma 90.00
loop_
_symmetry_equiv_pos_as_xyz
'x,y,z'
'-x,-y,-z'
'-x,y,-z'
'x,-y,z'
'x+1/2,y+1/2,z'
'-x+1/2,-y+1/2,-z'
'-x+1/2,y+1/2,-z'
'x+1/2,-y+1/2,z'
loop_
_atom_site_label
_atom_site_type_symbol
_atom_site_fract_x
_atom_site_fract_y
_atom_site_fract_z
Pm1 Pm 0.039 0.000 0.273
Pm2 Pm 0.089 0.500 0.944
Pm3 Pm 0.168 0.500 0.466
Pm4 Pm 0.199 0.000 0.833
Cu1 Cu 0.000 0.500 0.500
Rh1 Rh 0.204 0.000 0.240



# PmCu10Rh2, optimized geometry, DFT PBE
# - M_tot: 0.3 μB/f.u.
# - DOS at the Fermi energy: 33.4 states/eV/cell
# - E: -245.27 eV per cell
# - Energy of formation from the pure elements: -0.069 eV/atom
data_PmCu10Rh2
_symmetry_space_group_name_H-M 'F m m m'
_symmetry_Int_Tables_number 69
_symmetry_space_group_name_Hall '-F 2 2'
_cell_length_a 5.062
_cell_length_b 11.920
_cell_length_c 12.220
_cell_angle_alpha 90.00
_cell_angle_beta 90.00
_cell_angle_gamma 90.00
loop_
_atom_site_label
_atom_site_type_symbol
_atom_site_fract_x
_atom_site_fract_y
_atom_site_fract_z
Pm1 Pm 0.000 0.000 0.000
Cu1 Cu 0.000 0.110 0.383
Cu2 Cu 0.000 0.176 0.178
Cu3 Cu 0.250 0.000 0.250
Rh1 Rh 0.250 0.250 0.000



Which value of energy of formation from the pure elements does entry 1 give?
-0.295 eV/atom